No. 1
TlSe3S | PBE-GGA | optimized geometry

Results
E_form (uncorrected) ... 1.0807 eV per atom
M_tot ... 5.1 μB per cell
Volume ... 33.5 Å³/atom
Total DFT energy (no corrections) ... -11.54 eV per formula unit
Crystal system ... cubic

```
TlSe3S
1.0
5.514 0.000 0.000
0.000 5.514 0.000
0.000 0.000 5.514
Tl S Se
1 1 3
direct
0.000 0.000 0.000 Tl
0.500 0.500 0.500 S
0.000 0.500 0.000 Se
0.000 0.000 0.500 Se
0.500 0.000 0.000 Se
```

---

No. 2
Tl3SeS8 | PBE-GGA | optimized geometry

Results
E_form (uncorrected) ... -0.0378 eV per atom
M_tot ... 0.0 μB per cell
Volume ... 29.3 Å³/atom
Total DFT energy (no corrections) ... -44.06 eV per formula unit
Crystal system ... monoclinic

```
Tl3SeS8
1.0
1.590 -6.556 9.328
-1.273 -2.506 -6.857
5.077 -3.991 -0.088
Tl Se S
3 1 8
direct
0.938 0.522 0.551 Tl
0.415 0.478 0.073 Tl
0.543 0.000 0.405 Tl
0.884 0.000 0.099 Se
0.015 0.000 0.478 S
0.398 0.505 0.552 S
0.893 0.495 0.057 S
0.528 0.000 0.884 S
0.848 0.000 0.771 S
0.613 0.557 0.439 S
0.056 0.443 0.996 S
0.369 0.000 0.196 S
```

---

No. 3
Tl3SeS3 | PBE-GGA | optimized geometry

Results
E_form (uncorrected) ... -0.1440 eV per atom
M_tot ... 0.0 μB per cell
Volume ... 30.2 Å³/atom
Total DFT energy (no corrections) ... -23.97 eV per formula unit
Crystal system ... monoclinic

```
Tl3SeS3
1.0
-2.800 4.187 -3.190
-6.821 -2.256 3.026
8.538 8.381 3.505
Tl Se S
6 2 6
direct
0.250 0.577 0.775 Tl
0.250 0.176 0.375 Tl
0.250 0.261 0.934 Tl
0.750 0.423 0.225 Tl
0.750 0.824 0.625 Tl
0.750 0.739 0.066 Tl
0.750 0.298 0.633 Se
0.250 0.702 0.367 Se
0.750 0.697 0.803 S
0.750 0.195 0.418 S
0.750 0.262 0.931 S
0.250 0.303 0.197 S
0.250 0.805 0.582 S
0.250 0.738 0.069 S
```